# LaPrHo2Th

A geometry-optimized LaPrHo2Th structure (PBE-GGA, Alexandria).

Lattice parameters (Å, degrees): 6.5390 8.7375 6.4243 102.95 90.00 90.00
Last column: nearest neighbours and their distance in Å.
Sites, in units of the cell vectors:
La  0.0000  0.0000  0.0000  2 La 3.21, 2 Th 3.38, 2 Ho 3.50
La  0.0000  0.0000  0.5000  2 La 3.21, 2 Th 3.38, 2 Ho 3.50
Pr  0.1647  0.5000  0.7500  8 Ho 3.63-3.83, 2 Pr 3.87
Pr  0.8353  0.5000  0.2500  8 Ho 3.63-3.83, 2 Pr 3.87
Ho  0.6653  0.6856  0.8205  1 Ho 3.17, 2 Th 3.20-3.52, 1 La 3.50
Ho  0.6653  0.3144  0.6795  1 Ho 3.17, 2 Th 3.20-3.52, 1 La 3.50
Ho  0.3347  0.6856  0.3205  1 Ho 3.17, 2 Th 3.20-3.52, 1 La 3.50
Ho  0.3347  0.3144  0.1795  1 Ho 3.17, 2 Th 3.20-3.52, 1 La 3.50
Th  0.5459  0.0000  0.2500  4 Ho 3.20-3.52, 2 Th 3.27, 2 La 3.38
Th  0.4541  0.0000  0.7500  4 Ho 3.20-3.52, 2 Th 3.27, 2 La 3.38

## Properties
- V: 35.8 Å³/atom
- ρ: 7.8 g/cm³
- DFT formation energy: 293 meV/atom